## TlNiF3 (GGA+U)

Data for a relaxed TlNiF3 crystal.

The structure in POSCAR format:
```
TlNiF3
1.0
4.553 0.000 0.000
0.000 4.553 0.000
0.000 0.000 4.553
Tl F Ni
1 3 1
Cartesian
0.000 0.000 0.000
2.277 0.000 0.000
0.000 0.000 2.277
0.000 2.277 0.000
2.277 2.277 2.277
```

Crystal system ... cubic
SG ... Pm-3m (221)
Relative energy among the computed polymorphs ... 128.1 kJ/mol of atoms